Version w
## RbLaW2O8 (PBE+U)

Data for a relaxed RbLaW2O8 crystal.

- Symmetry: P-3, No. 147

Unit cell a=6.2276 b=6.2276 c=8.0755 alpha=90.00 beta=90.00 gamma=120.00
Last column: nearest neighbours and their distance in Å.
Sites, in units of the cell vectors:
O 0.6544 0.8256 0.6878  1 W 1.83
O 0.3456 0.1744 0.3122  1 W 1.83
Rb 0.0000 0.0000 0.0000  6 O 3.14
O 0.1712 0.3456 0.6878  1 W 1.83
O 0.3333 0.6667 0.9813  1 W 1.78
La 0.0000 0.0000 0.5000  6 O 2.40
O 0.6667 0.3333 0.0187  1 W 1.78
O 0.8288 0.6544 0.3122  1 W 1.83
O 0.1744 0.8288 0.6878  1 W 1.83
W 0.6667 0.3333 0.2387  4 O 1.78-1.83
W 0.3333 0.6667 0.7613  4 O 1.78-1.83
O 0.8256 0.1712 0.3122  1 W 1.83

=====

Version x
## RbLaW2O8 (PBE+U)

Data for a relaxed RbLaW2O8 crystal.

- Symmetry: C2/m, No. 12

Unit cell a=7.6219 b=7.6219 c=7.7503 alpha=66.39 beta=66.39 gamma=92.32
Last column: nearest neighbours and their distance in Å.
Sites, in units of the cell vectors:
O 0.7838 0.3064 0.6439  1 W 1.82
O 0.7090 0.9618 0.0513  1 W 1.83
O 0.2162 0.6936 0.3561  1 W 1.82
La 0.7014 0.2986 0.0000  8 O 2.44-2.63
O 0.9618 0.7090 0.0513  1 W 1.83
O 0.4185 0.4185 0.9051  1 W 1.87
W 0.7988 0.7988 0.9319  4 O 1.83-2.05
W 0.2012 0.2012 0.0681  4 O 1.83-2.05
O 0.5815 0.5815 0.0949  1 W 1.87
O 0.9104 0.6569 0.7343  2 W 1.96-2.14
O 0.0896 0.3431 0.2657  2 W 1.96-2.14
Rb 0.6857 0.6857 0.4668  6 O 2.73-2.98
O 0.9847 0.9847 0.3472  3 W 2.05-2.19
W 0.8391 0.1609 0.5000  4 O 1.82-1.96
O 0.3064 0.7838 0.6439  1 W 1.82
O 0.0153 0.0153 0.6528  3 W 2.05-2.19
W 0.1609 0.8391 0.5000  4 O 1.82-1.96
O 0.2910 0.0382 0.9487  1 W 1.83
O 0.6936 0.2162 0.3561  1 W 1.82
O 0.0382 0.2910 0.9487  1 W 1.83
La 0.2986 0.7014 0.0000  8 O 2.44-2.63
O 0.6569 0.9104 0.7343  2 W 1.96-2.14
O 0.3431 0.0896 0.2657  2 W 1.96-2.14
Rb 0.3143 0.3143 0.5332  6 O 2.73-2.98

=====

The relative energies come out as version w 5.8; version x 0.0, with values in kJ/mol of atoms.